Record 1
# ThMgH6Os2 GGA-PBE relaxed
data_ThMgH6Os2
_symmetry_space_group_name_H-M 'R -3 m'
_symmetry_Int_Tables_number 166
_symmetry_space_group_name_Hall '-R 3 2"'
_cell_length_a 4.6249
_cell_length_b 4.6249
_cell_length_c 15.6904
_cell_angle_alpha 90.00
_cell_angle_beta 90.00
_cell_angle_gamma 120.00
loop_
_atom_site_label
_atom_site_type_symbol
_atom_site_fract_x
_atom_site_fract_y
_atom_site_fract_z
Th1 Th 0.0000 0.0000 0.0000
Mg1 Mg 0.0000 0.0000 0.5000
H1 H 0.0137 0.5069 0.9394
Os1 Os 0.0000 0.0000 0.2017
# E_tot: -162.0 eV for the cell shown
# Mass density: 11.02 g cm⁻³

***

Record 2
# Mg2PH GGA-PBE relaxed
data_Mg2PH
_symmetry_space_group_name_H-M 'C 1 2/c 1'
_symmetry_Int_Tables_number 15
_symmetry_space_group_name_Hall '-C 2yc'
_cell_length_a 10.228
_cell_length_b 8.839
_cell_length_c 12.706
_cell_angle_alpha 90.00
_cell_angle_beta 109.52
_cell_angle_gamma 90.00
loop_
_atom_site_label
_atom_site_type_symbol
_atom_site_fract_x
_atom_site_fract_y
_atom_site_fract_z
Mg1 Mg 0.000 0.036 0.250
Mg2 Mg 0.000 0.399 0.250
Mg3 Mg 0.005 0.290 0.600
Mg4 Mg 0.221 0.269 0.143
Mg5 Mg 0.232 0.423 0.522
P1 P 0.046 0.223 0.421
P2 P 0.201 0.453 0.721
H1 H 0.086 0.144 0.846
H2 H 0.188 0.371 0.977
# E_tot: -217.9 eV for the cell shown
# Offset from the most stable computed form: 23 meV per atom
# Mass density: 1.98 g cm⁻³

***

Record 3
# Mg12P3H5 GGA-PBE relaxed
data_Mg12P3H5
_symmetry_space_group_name_H-M 'I a -3 d'
_symmetry_Int_Tables_number 230
_symmetry_space_group_name_Hall '-I 4bd 2c 3'
_cell_length_a 13.743
_cell_length_b 13.743
_cell_length_c 13.743
_cell_angle_alpha 90.00
_cell_angle_beta 90.00
_cell_angle_gamma 90.00
loop_
_atom_site_label
_atom_site_type_symbol
_atom_site_fract_x
_atom_site_fract_y
_atom_site_fract_z
Mg1 Mg 0.040 0.056 0.650
P1 P 0.000 0.250 0.125
H1 H 0.000 0.000 0.000
H2 H 0.000 0.250 0.375
# E_tot: -429.6 eV for the cell shown
# Mass density: 1.99 g cm⁻³

***

Record 4
# MgPH3 GGA-PBE relaxed
data_MgPH3
_symmetry_space_group_name_H-M 'P m -3 m'
_symmetry_Int_Tables_number 221
_symmetry_space_group_name_Hall '-P 4 2 3'
_cell_length_a 3.642
_cell_length_b 3.642
_cell_length_c 3.642
_cell_angle_alpha 90.00
_cell_angle_beta 90.00
_cell_angle_gamma 90.00
loop_
_atom_site_label
_atom_site_type_symbol
_atom_site_fract_x
_atom_site_fract_y
_atom_site_fract_z
Mg1 Mg 0.000 0.000 0.000
P1 P 0.500 0.500 0.500
H1 H 0.000 0.000 0.500
# E_tot: -13.4 eV for the cell shown
# Offset from the most stable computed form: 274 meV per atom
# Mass density: 2.00 g cm⁻³

***

Record 5
# MgP2H8 GGA-PBE relaxed
data_MgP2H8
_symmetry_space_group_name_H-M 'C 1 2/c 1'
_symmetry_Int_Tables_number 15
_symmetry_space_group_name_Hall '-C 2yc'
_cell_length_a 15.063
_cell_length_b 10.210
_cell_length_c 5.482
_cell_angle_alpha 90.00
_cell_angle_beta 110.59
_cell_angle_gamma 90.00
loop_
_atom_site_label
_atom_site_type_symbol
_atom_site_fract_x
_atom_site_fract_y
_atom_site_fract_z
Mg1 Mg 0.000 0.008 0.250
P1 P 0.143 0.338 0.671
H1 H 0.045 0.315 0.530
H2 H 0.068 0.085 0.057
H3 H 0.163 0.201 0.712
H4 H 0.166 0.341 0.439
# E_tot: -157.8 eV for the cell shown
# Mass density: 0.79 g cm⁻³

***

Record 6
# Mg2PH GGA-PBE relaxed
data_Mg2PH
_symmetry_space_group_name_H-M 'R 3 m'
_symmetry_Int_Tables_number 160
_symmetry_space_group_name_Hall 'R 3 -2"'
_cell_length_a 3.8218
_cell_length_b 3.8218
_cell_length_c 18.8149
_cell_angle_alpha 90.00
_cell_angle_beta 90.00
_cell_angle_gamma 120.00
loop_
_atom_site_label
_atom_site_type_symbol
_atom_site_fract_x
_atom_site_fract_y
_atom_site_fract_z
Mg1 Mg 0.0000 0.0000 0.0000
Mg2 Mg 0.0000 0.0000 0.2021
P1 P 0.0000 0.0000 0.5922
H1 H 0.0000 0.0000 0.3930
# E_tot: -37.2 eV for the cell shown
# Offset from the most stable computed form: 327 meV per atom
# Mass density: 1.69 g cm⁻³

***

Record 7
# Mg2PH GGA-PBE relaxed
data_Mg2PH
_symmetry_space_group_name_H-M 'P 32 2 1'
_symmetry_Int_Tables_number 154
_symmetry_space_group_name_Hall 'P 32 2"'
_cell_length_a 4.0164
_cell_length_b 4.0164
_cell_length_c 17.7174
_cell_angle_alpha 90.00
_cell_angle_beta 90.00
_cell_angle_gamma 120.00
loop_
_atom_site_label
_atom_site_type_symbol
_atom_site_fract_x
_atom_site_fract_y
_atom_site_fract_z
Mg1 Mg 0.0035 0.3369 0.4354
P1 P 0.0000 0.3299 0.8333
H1 H 0.0000 0.3353 0.3333
# E_tot: -41.1 eV for the cell shown
# Offset from the most stable computed form: 0 meV per atom
# Mass density: 1.62 g cm⁻³

***

Record 8
# MgPH3 GGA-PBE relaxed
data_MgPH3
_symmetry_space_group_name_H-M 'P m -3 m'
_symmetry_Int_Tables_number 221
_symmetry_space_group_name_Hall '-P 4 2 3'
_cell_length_a 3.608
_cell_length_b 3.608
_cell_length_c 3.608
_cell_angle_alpha 90.00
_cell_angle_beta 90.00
_cell_angle_gamma 90.00
loop_
_atom_site_label
_atom_site_type_symbol
_atom_site_fract_x
_atom_site_fract_y
_atom_site_fract_z
Mg1 Mg 0.000 0.000 0.000
P1 P 0.500 0.500 0.500
H1 H 0.000 0.500 0.500
# E_tot: -14.8 eV for the cell shown
# Offset from the most stable computed form: 0 meV per atom
# Mass density: 2.06 g cm⁻³

***

Record 9
# Mg9P2H14 GGA-PBE relaxed
data_Mg9P2H14
_symmetry_space_group_name_H-M 'P -1'
_symmetry_Int_Tables_number 2
_symmetry_space_group_name_Hall '-P 1'
_cell_length_a 5.854
_cell_length_b 6.123
_cell_length_c 8.485
_cell_angle_alpha 87.49
_cell_angle_beta 83.10
_cell_angle_gamma 73.26
loop_
_atom_site_label
_atom_site_type_symbol
_atom_site_fract_x
_atom_site_fract_y
_atom_site_fract_z
Mg1 Mg 0.000 0.000 0.000
Mg2 Mg 0.024 0.361 0.337
Mg3 Mg 0.211 0.788 0.309
Mg4 Mg 0.293 0.395 0.965
Mg5 Mg 0.330 0.014 0.651
P1 P 0.460 0.385 0.242
H1 H 0.018 0.656 0.903
H2 H 0.036 0.932 0.669
H3 H 0.063 0.309 0.570
H4 H 0.210 0.174 0.847
H5 H 0.283 0.886 0.098
H6 H 0.357 0.557 0.655
H7 H 0.396 0.897 0.431
# E_tot: -74.9 eV for the cell shown
# Mass density: 1.69 g cm⁻³

***

Record 10
# Mg3PH GGA-PBE relaxed
data_Mg3PH
_symmetry_space_group_name_H-M 'P m -3 m'
_symmetry_Int_Tables_number 221
_symmetry_space_group_name_Hall '-P 4 2 3'
_cell_length_a 4.305
_cell_length_b 4.305
_cell_length_c 4.305
_cell_angle_alpha 90.00
_cell_angle_beta 90.00
_cell_angle_gamma 90.00
loop_
_atom_site_label
_atom_site_type_symbol
_atom_site_fract_x
_atom_site_fract_y
_atom_site_fract_z
Mg1 Mg 0.000 0.000 0.500
P1 P 0.500 0.500 0.500
H1 H 0.000 0.000 0.000
# E_tot: -13.6 eV for the cell shown
# Offset from the most stable computed form: 0 meV per atom
# Mass density: 2.18 g cm⁻³

***

Record 11
# Mg2PH GGA-PBE relaxed
data_Mg2PH
_symmetry_space_group_name_H-M 'F m -3 m'
_symmetry_Int_Tables_number 225
_symmetry_space_group_name_Hall '-F 4 2 3'
_cell_length_a 6.144
_cell_length_b 6.144
_cell_length_c 6.144
_cell_angle_alpha 90.00
_cell_angle_beta 90.00
_cell_angle_gamma 90.00
loop_
_atom_site_label
_atom_site_type_symbol
_atom_site_fract_x
_atom_site_fract_y
_atom_site_fract_z
Mg1 Mg 0.250 0.250 0.250
P1 P 0.000 0.000 0.000
H1 H 0.000 0.000 0.500
# E_tot: -51.4 eV for the cell shown
# Offset from the most stable computed form: 214 meV per atom
# Mass density: 2.31 g cm⁻³

***

Record 12
# Mg2PH GGA-PBE relaxed
data_Mg2PH
_symmetry_space_group_name_H-M 'I -4 2 d'
_symmetry_Int_Tables_number 122
_symmetry_space_group_name_Hall 'I -4 2bw'
_cell_length_a 5.025
_cell_length_b 5.025
_cell_length_c 11.730
_cell_angle_alpha 90.00
_cell_angle_beta 90.00
_cell_angle_gamma 90.00
loop_
_atom_site_label
_atom_site_type_symbol
_atom_site_fract_x
_atom_site_fract_y
_atom_site_fract_z
Mg1 Mg 0.199 0.250 0.125
P1 P 0.000 0.000 0.500
H1 H 0.000 0.000 0.000
# E_tot: -51.1 eV for the cell shown
# Offset from the most stable computed form: 233 meV per atom
# Mass density: 1.81 g cm⁻³

***

Record 13
# PmMgPH2 GGA-PBE relaxed
data_PmMgPH2
_symmetry_space_group_name_H-M 'P 4 m m'
_symmetry_Int_Tables_number 99
_symmetry_space_group_name_Hall 'P 4 -2'
_cell_length_a 3.879
_cell_length_b 3.879
_cell_length_c 5.461
_cell_angle_alpha 90.00
_cell_angle_beta 90.00
_cell_angle_gamma 90.00
loop_
_atom_site_label
_atom_site_type_symbol
_atom_site_fract_x
_atom_site_fract_y
_atom_site_fract_z
Pm1 Pm 0.000 0.000 0.000
Mg1 Mg 0.500 0.500 0.383
P1 P 0.500 0.500 0.842
H1 H 0.000 0.500 0.282
# E_tot: -21.9 eV for the cell shown
# Mass density: 4.09 g cm⁻³

***

Record 14
# Mg2PHPt6 GGA-PBE relaxed
data_Mg2PHPt6
_symmetry_space_group_name_H-M 'C 1 m 1'
_symmetry_Int_Tables_number 8
_symmetry_space_group_name_Hall 'C -2y'
_cell_length_a 9.664
_cell_length_b 5.558
_cell_length_c 6.566
_cell_angle_alpha 90.00
_cell_angle_beta 119.39
_cell_angle_gamma 90.00
loop_
_atom_site_label
_atom_site_type_symbol
_atom_site_fract_x
_atom_site_fract_y
_atom_site_fract_z
Mg1 Mg 0.000 0.000 0.000
Mg2 Mg 0.069 0.500 0.705
P1 P 0.303 0.000 0.866
H1 H 0.429 0.500 0.279
Pt1 Pt 0.032 0.000 0.597
Pt2 Pt 0.057 0.500 0.168
Pt3 Pt 0.277 0.252 0.573
Pt4 Pt 0.297 0.246 0.153
# E_tot: -106.8 eV for the cell shown
# Mass density: 13.52 g cm⁻³

***

Record 15
# MgPHRu2 GGA-PBE relaxed
data_MgPHRu2
_symmetry_space_group_name_H-M 'P 4/m m m'
_symmetry_Int_Tables_number 123
_symmetry_space_group_name_Hall '-P 4 2'
_cell_length_a 4.347
_cell_length_b 4.347
_cell_length_c 4.810
_cell_angle_alpha 90.00
_cell_angle_beta 90.00
_cell_angle_gamma 90.00
loop_
_atom_site_label
_atom_site_type_symbol
_atom_site_fract_x
_atom_site_fract_y
_atom_site_fract_z
Mg1 Mg 0.000 0.000 0.000
P1 P 0.000 0.000 0.500
H1 H 0.500 0.500 0.000
Ru1 Ru 0.000 0.500 0.500
# E_tot: -24.7 eV for the cell shown
# Mass density: 4.72 g cm⁻³

***

Record 16
# MgP2HS GGA-PBE relaxed
data_MgP2HS
_symmetry_space_group_name_H-M 'P 4/m m m'
_symmetry_Int_Tables_number 123
_symmetry_space_group_name_Hall '-P 4 2'
_cell_length_a 4.857
_cell_length_b 4.857
_cell_length_c 4.768
_cell_angle_alpha 90.00
_cell_angle_beta 90.00
_cell_angle_gamma 90.00
loop_
_atom_site_label
_atom_site_type_symbol
_atom_site_fract_x
_atom_site_fract_y
_atom_site_fract_z
Mg1 Mg 0.000 0.000 0.000
P1 P 0.000 0.500 0.000
H1 H 0.500 0.500 0.500
S1 S 0.000 0.000 0.500
# E_tot: -13.6 eV for the cell shown
# Offset from the most stable computed form: 1092 meV per atom
# Mass density: 1.76 g cm⁻³

***

Record 17
# MgP2HS GGA-PBE relaxed
data_MgP2HS
_symmetry_space_group_name_H-M 'P 4/m m m'
_symmetry_Int_Tables_number 123
_symmetry_space_group_name_Hall '-P 4 2'
_cell_length_a 3.524
_cell_length_b 3.524
_cell_length_c 6.958
_cell_angle_alpha 90.00
_cell_angle_beta 90.00
_cell_angle_gamma 90.00
loop_
_atom_site_label
_atom_site_type_symbol
_atom_site_fract_x
_atom_site_fract_y
_atom_site_fract_z
Mg1 Mg 0.000 0.000 0.000
P1 P 0.000 0.500 0.500
H1 H 0.500 0.500 0.500
S1 S 0.500 0.500 0.000
# E_tot: -19.1 eV for the cell shown
# Offset from the most stable computed form: 0 meV per atom
# Mass density: 2.29 g cm⁻³

***

Record 18
# MgTcPH GGA-PBE relaxed
data_MgTcPH
_symmetry_space_group_name_H-M 'C 1 m 1'
_symmetry_Int_Tables_number 8
_symmetry_space_group_name_Hall 'C -2y'
_cell_length_a 5.438
_cell_length_b 3.130
_cell_length_c 6.134
_cell_angle_alpha 90.00
_cell_angle_beta 107.28
_cell_angle_gamma 90.00
loop_
_atom_site_label
_atom_site_type_symbol
_atom_site_fract_x
_atom_site_fract_y
_atom_site_fract_z
Mg1 Mg 0.000 0.000 0.000
Tc1 Tc 0.298 0.500 0.393
P1 P 0.218 0.000 0.653
H1 H 0.418 0.000 0.245
# E_tot: -43.8 eV for the cell shown
# Offset from the most stable computed form: 91 meV per atom
# Mass density: 5.14 g cm⁻³

***

Record 19
# MgTcPH GGA-PBE relaxed
data_MgTcPH
_symmetry_space_group_name_H-M 'R 3 m'
_symmetry_Int_Tables_number 160
_symmetry_space_group_name_Hall 'R 3 -2"'
_cell_length_a 3.2261
_cell_length_b 3.2261
_cell_length_c 17.1428
_cell_angle_alpha 90.00
_cell_angle_beta 90.00
_cell_angle_gamma 120.00
loop_
_atom_site_label
_atom_site_type_symbol
_atom_site_fract_x
_atom_site_fract_y
_atom_site_fract_z
Mg1 Mg 0.0000 0.0000 0.0000
Tc1 Tc 0.0000 0.0000 0.1977
P1 P 0.0000 0.0000 0.7817
H1 H 0.0000 0.0000 0.2988
# E_tot: -66.1 eV for the cell shown
# Offset from the most stable computed form: 55 meV per atom
# Mass density: 4.97 g cm⁻³